InSiAgF6: relaxed, GGA-PBE.

- ρ: 3898 kg/m³

a = 5.985 Å, b = 5.980 Å, c = 5.167 Å
α = 90.74°, β = 89.24°, γ = 57.18°
Element x y z (fractional)
In: 0.998 0.998 0.000
Si: 0.334 0.334 0.500
Ag: 0.659 0.659 0.499
F: 0.102 0.336 0.307
F: 0.337 0.101 0.693
F: 0.566 0.337 0.693
F: 0.080 0.587 0.690
F: 0.336 0.567 0.307
F: 0.587 0.081 0.311

InAgSnF6: relaxed, GGA-PBE.

- ρ: 4905 kg/m³

a = 5.974 Å, b = 5.974 Å, c = 9.977 Å
α = 90.00°, β = 90.00°, γ = 120.00°
Element x y z (fractional)
In: 0.667 0.333 0.250
In: 0.333 0.667 0.750
Ag: 0.333 0.667 0.250
Ag: 0.667 0.333 0.750
Sn: 0.000 0.000 0.000
Sn: 0.000 0.000 0.500
F: 0.686 0.638 0.132
F: 0.952 0.314 0.132
F: 0.314 0.952 0.632
F: 0.048 0.686 0.868
F: 0.362 0.314 0.368
F: 0.952 0.638 0.368
F: 0.638 0.952 0.868
F: 0.686 0.048 0.368
F: 0.048 0.362 0.632
F: 0.362 0.048 0.132
F: 0.638 0.686 0.632
F: 0.314 0.362 0.868

TiInAgF6: relaxed, GGA-PBE.

- ρ: 3919 kg/m³

a = 6.030 Å, b = 6.033 Å, c = 5.204 Å
α = 90.22°, β = 89.87°, γ = 59.41°
Element x y z (fractional)
Ti: 0.334 0.333 0.484
In: 0.000 0.000 0.016
Ag: 0.666 0.665 0.565
F: 0.054 0.380 0.282
F: 0.310 0.087 0.696
F: 0.604 0.310 0.696
F: 0.083 0.608 0.696
F: 0.379 0.567 0.283
F: 0.571 0.051 0.282

Number 1: VASP energy -43.7 eV per cell. Number 2: VASP energy -79.3 eV per cell. Number 3: VASP energy -47.4 eV per cell.